[1]
VASP calculation (GGA-PBE) on Pm5Co2Rh after structural relaxation.

Cell: 7.3305 7.3305 8.8942 Å, 114.34 114.34 90.00°
Positions (direct):
Pm (0.0000, 0.0000, 0.0000)
Pm (0.6813, 0.1813, 0.7180)
Pm (0.3187, 0.8187, 0.2820)
Pm (0.8187, 0.9634, 0.2820)
Pm (0.5000, 0.5000, 0.0000)
Pm (0.0366, 0.5366, 0.7180)
Pm (0.1813, 0.0366, 0.7180)
Pm (0.4634, 0.3187, 0.2820)
Pm (0.5366, 0.6813, 0.7180)
Pm (0.9634, 0.4634, 0.2820)
Co (0.3891, 0.8891, 0.0000)
Co (0.6109, 0.1109, 0.0000)
Co (0.8891, 0.6109, 0.0000)
Co (0.1109, 0.3891, 0.0000)
Rh (0.7500, 0.7500, 0.5000)
Rh (0.2500, 0.2500, 0.5000)

Values from the calculation:
Space-group type: I4/mcm, No. 140
Spin magnetization, μB/cell: 0.00
E, eV per atom: -5.918
Crystal system: tetragonal

=====

[2]
VASP calculation (GGA-PBE) on Pm4Ho7Tm after structural relaxation.

Cell: 6.8081 8.7431 9.0528 Å, 84.21 94.71 47.61°
Positions (direct):
Pm (0.2224, 0.1603, 0.3066)
Pm (0.4488, 0.3614, 0.7164)
Pm (0.7776, 0.8397, 0.6934)
Pm (0.5512, 0.6386, 0.2836)
Tm (0.0000, 0.0000, 0.0000)
Ho (0.2643, 0.4890, 0.0497)
Ho (0.0171, 0.6817, 0.3585)
Ho (0.2945, 0.8125, 0.6170)
Ho (0.9829, 0.3183, 0.6415)
Ho (0.7055, 0.1875, 0.3830)
Ho (0.5000, 0.0000, 0.0000)
Ho (0.7357, 0.5110, 0.9503)

Values from the calculation:
Space-group type: P-1, No. 2
Spin magnetization, μB/cell: 0.00
Polymorph energy (0 for the lowest one), meV/atom: 0
Crystal system: triclinic

=====

[3]
VASP calculation (GGA-PBE) on Pr4InAg2Ru after structural relaxation.

Cell: 5.3368 5.3368 9.1172 Å, 72.98 72.98 60.00°
Positions (direct):
Pr (0.1337, 0.1337, 0.5989)
Pr (0.8663, 0.8663, 0.4011)
Pr (0.6122, 0.6122, 0.1634)
Pr (0.3878, 0.3878, 0.8366)
Ru (0.5000, 0.5000, 0.5000)
In (0.0000, 0.0000, 0.0000)
Ag (0.7379, 0.7379, 0.7864)
Ag (0.2621, 0.2621, 0.2136)

Values from the calculation:
Space-group type: R-3m, No. 166
Spin magnetization, μB/cell: 0.00
E, eV per atom: -4.909
Crystal system: trigonal

=====

[4]
VASP calculation (GGA-PBE) on ZrBiSb after structural relaxation.

Cell: 5.5581 9.3484 8.3135 Å, 84.30 70.47 72.71°
Positions (direct):
Zr (0.6466, 0.3459, 0.3610)
Zr (0.9925, 0.6541, 0.3610)
Zr (0.0075, 0.3459, 0.6390)
Zr (0.3534, 0.6541, 0.6390)
Bi (0.8034, 0.0000, 0.3932)
Bi (0.1966, 0.0000, 0.6068)
Bi (0.8587, 0.2826, 0.0000)
Bi (0.1413, 0.7174, 0.0000)
Sb (0.5334, 0.6698, 0.2635)
Sb (0.4666, 0.3302, 0.7365)
Sb (0.7968, 0.6698, 0.7365)
Sb (0.2032, 0.3302, 0.2635)

Values from the calculation:
Space-group type: Fmmm, No. 69
Spin magnetization, μB/cell: 0.00
Polymorph energy (0 for the lowest one), meV/atom: 186
Crystal system: orthorhombic
Energy relative to the elements, uncorrected, eV per atom: -0.183

=====

[5]
VASP calculation (GGA-PBE) on Sm4Mg5Sc after structural relaxation.

Cell: 3.7886 3.7886 19.1042 Å, 90.00 90.00 90.00°
Positions (direct):
Mg (0.5000, 0.5000, 0.2945)
Mg (0.5000, 0.5000, 0.9129)
Mg (0.5000, 0.5000, 0.7055)
Mg (0.5000, 0.5000, 0.5000)
Mg (0.5000, 0.5000, 0.0871)
Sm (0.0000, 0.0000, 0.6033)
Sm (0.0000, 0.0000, 0.3967)
Sm (0.0000, 0.0000, 0.1917)
Sm (0.0000, 0.0000, 0.8083)
Sc (0.0000, 0.0000, 0.0000)

Values from the calculation:
Space-group type: P4/mmm, No. 123
Spin magnetization, μB/cell: 0.00
E, eV per atom: -3.399
Crystal system: tetragonal

=====

[6]
VASP calculation (GGA-PBE) on MoPbAu2 after structural relaxation.

Cell: 9.9497 9.9497 9.9497 Å, 17.80 17.80 17.80°
Positions (direct):
Mo (0.2500, 0.2500, 0.2500)
Pb (0.7500, 0.7500, 0.7500)
Au (0.9913, 0.9913, 0.9913)
Au (0.5087, 0.5087, 0.5087)

Values from the calculation:
Space-group type: R-3m, No. 166
Spin magnetization, μB/cell: 0.00
E, eV per atom: -4.908
Crystal system: trigonal

=====

[7]
VASP calculation (GGA-PBE) on Rb2UAgTe5 after structural relaxation.

Cell: 4.4187 11.3019 14.8259 Å, 90.00 90.00 101.27°
Last column: magnetic moment on the atom in μB.
Positions (direct):
Te (0.4996, 0.9992, 0.7774)  -0.01
Te (0.0607, 0.1215, 0.0341)  -0.03
Te (0.3203, 0.6406, 0.0187)  -0.05
Te (0.6912, 0.3824, 0.1491)  -0.04
Te (0.9393, 0.8785, 0.5341)  -0.03
Te (0.6996, 0.3993, 0.8772)  -0.03
Te (0.6797, 0.3594, 0.5187)  -0.05
Te (0.5004, 0.0008, 0.2774)  -0.01
Te (0.3004, 0.6007, 0.3772)  -0.03
Te (0.3088, 0.6176, 0.6491)  -0.04
U (0.8077, 0.6155, 0.5147)  0.51
U (0.1923, 0.3845, 0.0147)  0.51
Rb (0.1252, 0.2504, 0.3361)  0.00
Rb (0.8793, 0.7587, 0.1956)  0.00
Rb (0.1207, 0.2413, 0.6956)  0.00
Rb (0.8748, 0.7496, 0.8361)  0.00
Ag (0.5748, 0.1496, 0.9211)  -0.01
Ag (0.4252, 0.8504, 0.4211)  -0.01

Values from the calculation:
Space-group type: Cmc2_1, No. 36
Spin magnetization, μB/cell: 0.46
Crystal system: orthorhombic
Energy relative to the elements, uncorrected, eV per atom: -0.546

=====

[8]
VASP calculation (GGA-PBE) on ZnTeAu2 after structural relaxation.

Cell: 4.5038 4.5038 9.3713 Å, 76.10 76.10 90.00°
Positions (direct):
Au (0.5815, 0.1250, 0.2500)
Au (0.3750, 0.4185, 0.7500)
Au (0.8750, 0.8315, 0.7500)
Au (0.1685, 0.6250, 0.2500)
Zn (0.2500, 0.7500, 0.5000)
Zn (0.5000, 0.5000, 0.0000)
Te (0.0000, 0.0000, 0.0000)
Te (0.7500, 0.2500, 0.5000)

Values from the calculation:
Space-group type: I-42d, No. 122
Spin magnetization, μB/cell: 0.00
Polymorph energy (0 for the lowest one), meV/atom: 92
Crystal system: tetragonal
Energy relative to the elements, uncorrected, eV per atom: 0.016

=====

[9]
VASP calculation (GGA-PBE) on Er4Hg2N after structural relaxation.

Cell: 4.7464 4.7464 8.0915 Å, 107.06 107.06 90.00°
Positions (direct):
Hg (0.3681, 0.3681, 0.7362)
Hg (0.6319, 0.6319, 0.2638)
Er (0.8310, 0.8310, 0.6620)
Er (0.0000, 0.5000, 0.0000)
Er (0.5000, 0.0000, 0.0000)
Er (0.1690, 0.1690, 0.3380)
N (0.0000, 0.0000, 0.0000)

Values from the calculation:
Space-group type: I4/mmm, No. 139
Spin magnetization, μB/cell: 0.00
Polymorph energy (0 for the lowest one), meV/atom: 0
Crystal system: tetragonal
Energy relative to the elements, uncorrected, eV per atom: -0.741

=====

[10]
VASP calculation (GGA-PBE) on ZrTl2Ir after structural relaxation.

Cell: 5.2055 5.2055 5.2055 Å, 128.64 128.64 75.58°
Positions (direct):
Zr (0.5000, 0.5000, 0.0000)
Tl (0.0000, 0.0000, 0.0000)
Tl (0.2500, 0.7500, 0.5000)
Ir (0.7500, 0.2500, 0.5000)

Values from the calculation:
Space-group type: I-4m2, No. 119
Spin magnetization, μB/cell: 0.00
Polymorph energy (0 for the lowest one), meV/atom: 253
Crystal system: tetragonal

=====

[11]
VASP calculation (GGA-PBE) on Na6SrAg2 after structural relaxation.

Cell: 4.7116 4.7116 12.9178 Å, 90.00 90.00 90.00°
Positions (direct):
Na (0.5000, 0.0000, 0.2642)
Na (0.0000, 0.0000, 0.5000)
Na (0.5000, 0.5000, 0.5000)
Na (0.5000, 0.0000, 0.7358)
Na (0.0000, 0.5000, 0.7358)
Na (0.0000, 0.5000, 0.2642)
Sr (0.0000, 0.0000, 0.0000)
Ag (0.5000, 0.5000, 0.8941)
Ag (0.5000, 0.5000, 0.1059)

Values from the calculation:
Space-group type: P4/mmm, No. 123
Spin magnetization, μB/cell: 0.00
E, eV per atom: -1.743
Crystal system: tetragonal

=====

[12]
VASP calculation (GGA-PBE) on Mn2CdAsIr after structural relaxation.

Cell: 4.6806 4.8879 4.6806 Å, 90.00 90.00 90.00°
Last column: magnetic moment on the atom in μB.
Positions (direct):
Ir (0.0000, 0.5000, 0.0000)  0.10
As (0.5000, 0.5000, 0.5000)  0.06
Mn (0.5000, 0.0000, 0.0000)  -0.04
Mn (0.0000, 0.0000, 0.5000)  0.44
Cd (0.0000, 0.0000, 0.0000)  0.03

Values from the calculation:
Space-group type: P4/mmm, No. 123
Spin magnetization, μB/cell: 0.68
E, eV per atom: -4.243
Crystal system: tetragonal

=====

[13]
VASP calculation (GGA-PBE) on BeCS3 after structural relaxation.

Cell: 4.2184 4.2184 4.2184 Å, 90.00 90.00 90.00°
Positions (direct):
S (0.0000, 0.5000, 0.0000)
S (0.0000, 0.0000, 0.5000)
S (0.5000, 0.0000, 0.0000)
Be (0.0000, 0.0000, 0.0000)
C (0.5000, 0.5000, 0.5000)

Values from the calculation:
Space-group type: Pm-3m, No. 221
Spin magnetization, μB/cell: 0.00
Polymorph energy (0 for the lowest one), meV/atom: 287
Crystal system: cubic
Energy relative to the elements, uncorrected, eV per atom: 1.645

=====

[14]
VASP calculation (GGA-PBE) on SiPSe2 after structural relaxation.

Cell: 8.1960 8.1960 8.1960 Å, 25.09 25.09 25.09°
Positions (direct):
Si (0.5000, 0.5000, 0.5000)
Se (0.8955, 0.8955, 0.8955)
Se (0.1045, 0.1045, 0.1045)
P (0.0000, 0.0000, 0.0000)

Values from the calculation:
Space-group type: R-3m, No. 166
Spin magnetization, μB/cell: 0.00
Polymorph energy (0 for the lowest one), meV/atom: 366
Crystal system: trigonal
Energy relative to the elements, uncorrected, eV per atom: 0.279

=====

[15]
VASP calculation (GGA-PBE) on InGaS2 after structural relaxation.

Cell: 3.6372 3.6372 7.6747 Å, 76.29 76.29 60.00°
Positions (direct):
S (0.0597, 0.0597, 0.8209)
S (0.2699, 0.2699, 0.1904)
In (0.5030, 0.5030, 0.4910)
Ga (0.6674, 0.6674, 0.9977)

Values from the calculation:
Space-group type: R3m, No. 160
Spin magnetization, μB/cell: 0.00
Crystal system: trigonal
Energy relative to the elements, uncorrected, eV per atom: -0.417

=====

[16]
VASP calculation (GGA-PBE) on AcNdTlTe after structural relaxation.

Cell: 4.4624 4.4624 8.6740 Å, 75.09 75.09 60.00°
Positions (direct):
Tl (0.0046, 0.0046, 0.9863)
Te (0.4945, 0.4945, 0.5164)
Nd (0.7518, 0.7518, 0.7447)
Ac (0.2491, 0.2491, 0.2527)

Values from the calculation:
Space-group type: R3m, No. 160
Spin magnetization, μB/cell: 0.00
Crystal system: trigonal
Energy relative to the elements, uncorrected, eV per atom: -0.878

=====

[17]
VASP calculation (GGA-PBE) on InCu4Pd7 after structural relaxation.

Cell: 5.5164 7.3621 7.2799 Å, 68.20 77.07 40.60°
Positions (direct):
In (0.0000, 0.0000, 0.0000)
Pd (0.2498, 0.4960, 0.9976)
Pd (0.2547, 0.8291, 0.6577)
Pd (0.9879, 0.6754, 0.3410)
Pd (0.5000, 0.0000, 0.0000)
Pd (0.0121, 0.3246, 0.6590)
Pd (0.7502, 0.5040, 0.0024)
Pd (0.7453, 0.1709, 0.3423)
Cu (0.5163, 0.6556, 0.3405)
Cu (0.4837, 0.3444, 0.6595)
Cu (0.2488, 0.1679, 0.3323)
Cu (0.7512, 0.8321, 0.6677)

Values from the calculation:
Space-group type: P-1, No. 2
Spin magnetization, μB/cell: 0.00
Polymorph energy (0 for the lowest one), meV/atom: 0
Crystal system: triclinic

=====

[18]
VASP calculation (GGA-PBE) on Fe3SiIr after structural relaxation.

Cell: 4.6314 4.6314 4.6314 Å, 90.00 90.00 90.00°
Last column: magnetic moment on the atom in μB.
Positions (direct):
Si (0.5000, 0.5000, 0.5000)  -0.08
Fe (0.0000, 0.0000, 0.5000)  3.57
Fe (0.0000, 0.5000, 0.0000)  3.18
Fe (0.5000, 0.0000, 0.0000)  2.63
Ir (0.0000, 0.0000, 0.0000)  0.59

Values from the calculation:
Space-group type: Pm-3m, No. 221
Spin magnetization, μB/cell: 9.90
Crystal system: cubic
Energy relative to the elements, uncorrected, eV per atom: 1.349

=====

[19]
VASP calculation (GGA-PBE) on CsMoSe3 after structural relaxation.

Cell: 5.0943 5.0943 5.0943 Å, 90.00 90.00 90.00°
Positions (direct):
Se (0.0000, 0.5000, 0.0000)
Se (0.0000, 0.0000, 0.5000)
Se (0.5000, 0.0000, 0.0000)
Cs (0.5000, 0.5000, 0.5000)
Mo (0.0000, 0.0000, 0.0000)

Values from the calculation:
Space-group type: Pm-3m, No. 221
Spin magnetization, μB/cell: 0.00
Polymorph energy (0 for the lowest one), meV/atom: 148
Crystal system: cubic
Energy relative to the elements, uncorrected, eV per atom: -0.411

=====

[20]
VASP calculation (GGA-PBE) on BaEuCd4 after structural relaxation.

Cell: 6.2731 6.2731 6.2731 Å, 60.00 60.00 60.00°
Last column: magnetic moment on the atom in μB.
Positions (direct):
Cd (0.6247, 0.1259, 0.6247)  0.01
Cd (0.6247, 0.6247, 0.6247)  0.01
Cd (0.6247, 0.6247, 0.1259)  0.01
Cd (0.1259, 0.6247, 0.6247)  0.01
Ba (0.0000, 0.0000, 0.0000)  0.03
Eu (0.2500, 0.2500, 0.2500)  6.93

Values from the calculation:
Space-group type: F-43m, No. 216
Spin magnetization, μB/cell: 7.43
E, eV per atom: -2.931
Crystal system: cubic